(1)
Entry from Alexandria: an optimized crystal structure of LiZn2Cl (GGA-PBE).

Cell: 3.566 3.552 6.786 Å, 90.00 104.75 90.00°
Atoms (fractional coordinates):
Li 0.000 0.000 0.000
Zn 0.259 0.500 0.510
Zn 0.745 0.000 0.480
Cl 0.491 0.500 0.983

Total moment ... 0.00 μB per formula unit
Crystal system ... monoclinic
Energy relative to the elements, uncorrected ... -572 meV/atom
Calculated total energy ... -8.60 eV/cell

=====

(2)
Entry from Alexandria: an optimized crystal structure of Ta11Ir9Os4 (GGA-PBE).

Cell: 12.123 12.123 2.997 Å, 90.00 90.00 117.13°
Atoms (fractional coordinates):
Ta 0.000 0.000 0.000
Ta 0.043 0.398 0.000
Ta 0.174 0.826 0.000
Ta 0.275 0.275 0.000
Ta 0.371 0.629 0.000
Ta 0.398 0.043 0.000
Ta 0.602 0.957 0.000
Ta 0.629 0.371 0.000
Ta 0.725 0.725 0.000
Ta 0.826 0.174 0.000
Ta 0.957 0.602 0.000
Ir 0.039 0.196 0.500
Ir 0.158 0.619 0.500
Ir 0.196 0.039 0.500
Ir 0.381 0.842 0.500
Ir 0.500 0.500 0.500
Ir 0.619 0.158 0.500
Ir 0.804 0.961 0.500
Ir 0.842 0.381 0.500
Ir 0.961 0.804 0.500
Os 0.240 0.434 0.500
Os 0.434 0.240 0.500
Os 0.566 0.760 0.500
Os 0.760 0.566 0.500

Total moment ... 0.00 μB per formula unit
Crystal system ... orthorhombic
Calculated total energy ... -264.46 eV/cell
DFT formation energy ... -0.392 eV per atom

=====

(3)
Entry from Alexandria: an optimized crystal structure of CaRuPt2 (GGA-PBE).

Cell: 2.833 4.104 6.091 Å, 90.00 90.00 90.00°
Atoms (fractional coordinates):
Ca 0.000 0.000 0.000
Ru 0.500 0.500 0.684
Pt 0.000 0.000 0.521
Pt 0.500 0.500 0.251

Total moment ... 0.75 μB per formula unit
Crystal system ... orthorhombic
Calculated total energy ... -23.72 eV/cell
DFT formation energy ... -0.090 eV per atom

=====

(4)
Entry from Alexandria: an optimized crystal structure of PmHo4Te2 (GGA-PBE).

Cell: 9.441 9.441 9.441 Å, 33.43 33.43 33.43°
Atoms (fractional coordinates):
Pm 0.000 0.000 0.000
Ho 0.234 0.234 0.234
Ho 0.366 0.366 0.366
Ho 0.634 0.634 0.634
Ho 0.766 0.766 0.766
Te 0.118 0.118 0.118
Te 0.882 0.882 0.882

Total moment ... 0.00 μB per formula unit
Crystal system ... trigonal
Energy relative to the elements, uncorrected ... -481 meV/atom
Calculated total energy ... -32.71 eV/cell

=====

(5)
Entry from Alexandria: an optimized crystal structure of CaWBr2 (GGA-PBE).

Cell: 3.292 3.292 9.231 Å, 90.00 90.00 90.00°
Atoms (fractional coordinates):
Ca 0.000 0.000 0.000
W 0.500 0.500 0.265
Br 0.000 0.000 0.414
Br 0.500 0.500 0.810

Total moment ... 0.00 μB per formula unit
Crystal system ... tetragonal
Energy relative to the elements, uncorrected ... -76 meV/atom
Calculated total energy ... -18.60 eV/cell

=====

(6)
Entry from Alexandria: an optimized crystal structure of KNpCo2Br8 (GGA-PBE).

Cell: 10.978 10.978 10.978 Å, 36.19 36.19 36.19°
Atoms (fractional coordinates):
K 0.000 0.000 0.000
Np 0.500 0.500 0.500
Co 0.249 0.249 0.249
Co 0.751 0.751 0.751
Br 0.110 0.783 0.439
Br 0.217 0.561 0.890
Br 0.324 0.324 0.324
Br 0.439 0.110 0.783
Br 0.561 0.890 0.217
Br 0.676 0.676 0.676
Br 0.783 0.439 0.110
Br 0.890 0.217 0.561

Total moment ... 2.00 μB per formula unit
Crystal system ... trigonal
Energy relative to the elements, uncorrected ... -847 meV/atom
Calculated total energy ... -51.80 eV/cell

=====

(7)
Entry from Alexandria: an optimized crystal structure of CrAgSb2H (GGA-PBE).

Cell: 4.816 4.816 3.908 Å, 90.00 90.00 90.00°
Atoms (fractional coordinates):
Cr 0.000 0.000 0.000
Ag 0.500 0.500 0.000
Sb 0.000 0.500 0.500
Sb 0.500 0.000 0.500
H 0.500 0.500 0.500

Total moment ... 3.53 μB per formula unit
Crystal system ... tetragonal
Calculated total energy ... -21.80 eV/cell

=====

(8)
Entry from Alexandria: an optimized crystal structure of ZrScCd2 (GGA-PBE).

Cell: 4.948 4.948 3.598 Å, 90.00 90.00 90.00°
Atoms (fractional coordinates):
Zr 0.000 0.000 0.000
Sc 0.500 0.500 0.000
Cd 0.000 0.500 0.500
Cd 0.500 0.000 0.500

Total moment ... 0.58 μB per formula unit
Crystal system ... tetragonal
Calculated total energy ... -17.35 eV/cell
DFT formation energy ... -0.161 eV per atom

=====

(9)
Entry from Alexandria: an optimized crystal structure of La2NiGe (GGA-PBE).

Cell: 8.661 8.661 8.661 Å, 139.64 139.64 58.41°
Atoms (fractional coordinates):
La 0.097 0.625 0.972
La 0.375 0.347 0.472
La 0.653 0.125 0.028
La 0.875 0.903 0.528
Ni 0.000 0.000 0.000
Ni 0.750 0.250 0.500
Ge 0.250 0.750 0.500
Ge 0.500 0.500 0.000

Total moment ... 0.00 μB per formula unit
Crystal system ... tetragonal
Calculated total energy ... -40.06 eV/cell
DFT formation energy ... 0.055 eV per atom

=====

(10)
Entry from Alexandria: an optimized crystal structure of Zn5Cu4 (GGA-PBE).

Cell: 7.400 7.400 5.072 Å, 90.00 90.00 120.00°
Atoms (fractional coordinates):
Zn 0.000 0.302 0.250
Zn 0.000 0.698 0.750
Zn 0.302 0.000 0.250
Zn 0.302 0.302 0.750
Zn 0.333 0.667 0.000
Zn 0.333 0.667 0.500
Zn 0.667 0.333 0.000
Zn 0.667 0.333 0.500
Zn 0.698 0.000 0.750
Zn 0.698 0.698 0.250
Cu 0.000 0.000 0.000
Cu 0.000 0.000 0.500
Cu 0.000 0.363 0.750
Cu 0.000 0.637 0.250
Cu 0.363 0.000 0.750
Cu 0.363 0.363 0.250
Cu 0.637 0.000 0.250
Cu 0.637 0.637 0.750

Total moment ... 0.00 μB per formula unit
Crystal system ... hexagonal
Calculated total energy ... -46.40 eV/cell
DFT formation energy ... -0.049 eV per atom

=====

(11)
Entry from Alexandria: an optimized crystal structure of Re4TcHg (GGA-PBE).

Cell: 5.199 5.199 5.199 Å, 60.00 60.00 60.00°
Atoms (fractional coordinates):
Re 0.124 0.124 0.124
Re 0.124 0.124 0.627
Re 0.124 0.627 0.124
Re 0.627 0.124 0.124
Tc 0.500 0.500 0.500
Hg 0.750 0.750 0.750

Total moment ... 0.00 μB per formula unit
Crystal system ... cubic
Calculated total energy ... -56.66 eV/cell
DFT formation energy ... 0.634 eV per atom

=====

(12)
Entry from Alexandria: an optimized crystal structure of Ca2InAsN (GGA-PBE).

Cell: 4.848 4.848 4.543 Å, 90.00 90.00 90.00°
Atoms (fractional coordinates):
Ca 0.000 0.500 0.000
Ca 0.500 0.000 0.000
In 0.000 0.000 0.500
As 0.500 0.500 0.500
N 0.000 0.000 0.000

Total moment ... 0.00 μB per formula unit
Crystal system ... tetragonal
Energy relative to the elements, uncorrected ... -681 meV/atom
Calculated total energy ... -23.12 eV/cell

=====

(13)
Entry from Alexandria: an optimized crystal structure of SrPm (GGA-PBE).

Cell: 3.899 3.899 11.225 Å, 90.00 90.00 90.00°
Atoms (fractional coordinates):
Sr 0.250 0.250 0.147
Sr 0.750 0.750 0.853
Pm 0.250 0.250 0.600
Pm 0.750 0.750 0.400

Total moment ... 0.00 μB per formula unit
Crystal system ... tetragonal
Calculated total energy ... -12.55 eV/cell
DFT formation energy ... 0.080 eV per atom

=====

no.,D(E_F) (states/eV per atom)
1,0.07
2,0.68
3,1.01
4,0.89
5,0.24
6,0.57
7,0.39
8,1.04
9,0.18
10,0.21
11,0.82
12,0.22
13,1.26